Entry 1:
Density functional theory data (PBE) for a relaxed RbAlSnRh2 crystal.

a = 4.876 Å, b = 4.876 Å, c = 5.882 Å
α = 90.00°, β = 90.00°, γ = 90.00°
Atoms (fractional coordinates):
Rb: 0.000 0.000 0.000
Al: 0.500 0.500 0.500
Sn: 0.000 0.000 0.500
Rh: 0.000 0.500 0.000
Rh: 0.500 0.000 0.000

Properties
- Formation enthalpy at 0 K: 45.2 kcal/mol of atoms
- Density: 5.2 g/cm³
- Magnetization: 0.1190 μB/atom


Entry 2:
Density functional theory data (PBE) for a relaxed RbAl2VRh crystal.

a = 4.924 Å, b = 4.924 Å, c = 5.392 Å
α = 90.00°, β = 90.00°, γ = 90.00°
Atoms (fractional coordinates):
Rb: 0.000 0.000 0.000
Al: 0.000 0.500 0.500
Al: 0.500 0.000 0.500
V: 0.000 0.000 0.500
Rh: 0.500 0.500 0.000

Properties
- Formation enthalpy at 0 K: 32.1 kcal/mol of atoms
- Density: 3.7 g/cm³
- Magnetization: 0.7274 μB/atom


Entry 3:
Density functional theory data (PBE) for a relaxed Rb2YAlRh crystal.

a = 6.603 Å, b = 6.603 Å, c = 4.598 Å
α = 90.00°, β = 90.00°, γ = 90.00°
Atoms (fractional coordinates):
Rb: 0.000 0.500 0.000
Rb: 0.500 0.000 0.000
Y: 0.000 0.000 0.500
Al: 0.500 0.500 0.000
Rh: 0.500 0.500 0.500

Properties
- Formation enthalpy at 0 K: 18.2 kcal/mol of atoms
- Density: 3.2 g/cm³
- Magnetization: 0.0916 μB/atom


Entry 4:
Density functional theory data (PBE) for a relaxed RbAlRu crystal.

a = 3.251 Å, b = 4.645 Å, c = 12.569 Å
α = 96.50°, β = 93.76°, γ = 110.42°
Atoms (fractional coordinates):
Rb: 0.000 0.000 0.000
Rb: 0.175 0.673 0.371
Al: 0.625 0.363 0.785
Al: 0.918 0.034 0.617
Ru: 0.322 0.780 0.739
Ru: 0.616 0.444 0.589

Properties
- Energy above the lowest structure with this stoichiometry: 115 meV per atom
- Formation enthalpy at 0 K: 4.1 kcal/mol of atoms
- Density: 4.0 g/cm³
- Magnetization: 0.0000 μB/atom